Entry 1:
Below is an optimized crystal structure of La3CoGe, with properties calculated at the PBE level.

Cell: 5.232 5.232 5.232 Å, 90.00 90.00 90.00°
Element x y z (fractional)
La 0.000 0.000 0.500
La 0.000 0.500 0.000
La 0.500 0.000 0.000
Co 0.000 0.000 0.000
Ge 0.500 0.500 0.500

Output
Energy in eV/atom: -5.61
Energy above the lowest structure with this stoichiometry in eV/atom: 0.108
Formation energy in eV/atom: -0.305


Entry 2:
Below is an optimized crystal structure of AlCo4Hg, with properties calculated at the PBE level.

Cell: 4.821 4.821 4.821 Å, 60.00 60.00 60.00°
Element x y z (fractional)
Al 0.000 0.000 0.000
Co 0.123 0.626 0.626
Co 0.626 0.123 0.626
Co 0.626 0.626 0.123
Co 0.626 0.626 0.626
Hg 0.250 0.250 0.250

Output
Energy in eV/atom: -5.24
Formation energy in eV/atom: 0.167


Entry 3:
Below is an optimized crystal structure of ZrRuRh2F, with properties calculated at the PBE level.

Cell: 4.286 4.286 4.207 Å, 90.00 90.00 90.00°
Element x y z (fractional)
Zr 0.000 0.000 0.000
Ru 0.500 0.500 0.000
Rh 0.000 0.500 0.500
Rh 0.500 0.000 0.500
F 0.000 0.000 0.500

Output
Energy in eV/atom: -6.86


Entry 4:
Below is an optimized crystal structure of LaMoPt2, with properties calculated at the PBE level.

Cell: 8.989 8.989 8.989 Å, 147.61 147.61 46.46°
Element x y z (fractional)
La 0.000 0.000 0.000
La 0.750 0.250 0.500
Mo 0.250 0.750 0.500
Mo 0.500 0.500 0.000
Pt 0.270 0.625 0.145
Pt 0.375 0.520 0.645
Pt 0.480 0.125 0.855
Pt 0.875 0.730 0.355

Output
Energy in eV/atom: -6.94
Energy above the lowest structure with this stoichiometry in eV/atom: 0.529
Formation energy in eV/atom: 0.022


Entry 5:
Below is an optimized crystal structure of MgCoB4, with properties calculated at the PBE level.

Cell: 5.801 11.175 3.150 Å, 90.00 90.00 90.00°
Element x y z (fractional)
Mg 0.128 0.151 0.000
Mg 0.372 0.651 0.000
Mg 0.628 0.349 0.000
Mg 0.872 0.849 0.000
Co 0.139 0.410 0.000
Co 0.361 0.910 0.000
Co 0.639 0.090 0.000
Co 0.861 0.590 0.000
B 0.020 0.694 0.500
B 0.113 0.549 0.500
B 0.136 0.971 0.500
B 0.208 0.815 0.500
B 0.292 0.315 0.500
B 0.364 0.471 0.500
B 0.387 0.049 0.500
B 0.480 0.194 0.500
B 0.520 0.806 0.500
B 0.613 0.951 0.500
B 0.636 0.529 0.500
B 0.708 0.685 0.500
B 0.792 0.185 0.500
B 0.864 0.029 0.500
B 0.887 0.451 0.500
B 0.980 0.306 0.500

Output
Energy in eV/atom: -6.13
Formation energy in eV/atom: -0.229


Entry 6:
Below is an optimized crystal structure of Nd6SmY3Ho2, with properties calculated at the PBE level.

Cell: 6.294 6.294 11.912 Å, 95.04 95.04 120.00°
Element x y z (fractional)
Nd 0.082 0.416 0.250
Nd 0.250 0.250 0.750
Nd 0.416 0.082 0.250
Nd 0.584 0.918 0.750
Nd 0.750 0.750 0.250
Nd 0.918 0.584 0.750
Sm 0.500 0.500 0.500
Y 0.000 0.000 0.000
Y 0.333 0.667 0.000
Y 0.667 0.333 0.000
Ho 0.167 0.833 0.500
Ho 0.833 0.167 0.500

Output
Energy in eV/atom: -5.15
Formation energy in eV/atom: 0.010


> Among the records above, which one has the lowest energy?

LaMoPt2